(1)
Tl6Ni3Br14 PBE relaxed; SG = P3, No. 143; uncorrected formation energy = -53.0 kJ/mol of atoms; total magnetization = 7.0 μB per formula unit; volume = 812 Å³/cell; final energy = -2.94 eV per atom; Fermi-level density of states = 14.679 states/eV/f.u.
1.0
11.8627 0.0000 0.0000
-5.9314 10.2734 0.0000
0.0000 0.0000 6.6644
Tl Ni Br
6 3 14
Cartesian
-2.4801 4.7215 0.0000
2.4278 2.1587 3.4368
-0.6023 10.0605 0.0000
3.0825 5.7648 0.0000
8.7793 1.0232 3.4368
6.5870 7.0915 3.4368
0.0000 0.0000 0.5213
0.0000 6.8490 3.8801
5.9314 3.4245 4.9197
0.0000 0.0000 4.8587
-0.4120 2.1576 1.3260
-3.8568 9.5514 1.3260
-2.0331 7.6619 4.7184
0.3125 4.6818 4.7184
0.0000 6.8490 1.5640
3.9500 2.6789 6.3520
5.5548 1.3267 3.5149
1.7206 8.2031 4.7184
4.3029 4.7995 3.5149
7.5677 2.0813 6.3520
4.2688 8.8378 1.3260
6.2764 5.5132 6.3520
7.9364 4.1472 3.5149

=====

(2)
MnW PBE relaxed; SG = Pnma, No. 62; calculated formation energy = 0.43 eV/f.u.; total magnetization = 0.8 μB per formula unit; volume = 222 Å³/cell; final energy = -10.85 eV per atom; Fermi-level density of states = 2.192 states/eV/f.u.
1.0
9.9502 0.0000 0.0000
0.0000 4.3760 0.0000
0.0000 0.0000 5.0913
Mn W
8 8
Cartesian
0.6279 1.0940 0.4044
1.7209 3.2820 1.3694
3.2542 1.0940 3.9150
4.3472 3.2820 2.9501
5.6029 1.0940 2.1412
6.6960 3.2820 1.1763
8.2293 1.0940 3.7219
9.3223 3.2820 4.6869
0.6487 1.0940 2.9666
1.9079 3.2820 3.9204
3.0671 1.0940 1.3748
4.3264 3.2820 0.4209
5.6237 1.0940 4.6704
6.8830 3.2820 3.7165
8.0422 1.0940 1.1709
9.3015 3.2820 2.1247

=====

(3)
CaY4Si PBE relaxed; SG = F-43m, No. 216; uncorrected formation energy = 41.4 kJ/mol of atoms; total magnetization = 0.0 μB per formula unit; volume = 189 Å³/cell; final energy = -5.12 eV per atom; Fermi-level density of states = 7.336 states/eV/f.u.
1.0
0.0000 4.5587 4.5587
4.5587 0.0000 4.5587
4.5587 4.5587 0.0000
Ca Y Si
1 4 1
Cartesian
0.0000 0.0000 0.0000
3.4221 3.4221 3.4221
5.6952 5.6952 3.4221
5.6952 3.4221 5.6952
3.4221 5.6952 5.6952
6.8380 6.8380 6.8380

=====

(4)
PaCdIrPt PBE relaxed; SG = F-43m, No. 216; calculated formation energy = -2.25 eV/f.u.; total magnetization = 0.0 μB per formula unit; volume = 79 Å³/cell; final energy = -6.89 eV per atom; Fermi-level density of states = 3.681 states/eV/f.u.
1.0
0.0000 3.4024 3.4024
3.4024 0.0000 3.4024
3.4024 3.4024 0.0000
Pa Cd Ir Pt
1 1 1 1
Cartesian
0.0000 0.0000 0.0000
3.4024 3.4024 3.4024
1.7012 1.7012 1.7012
5.1037 5.1037 5.1037

=====

(5)
AgWAu2 PBE relaxed; SG = P4/mmm, No. 123; calculated formation energy = 1.55 eV/f.u.; total magnetization = 0.0 μB per formula unit; volume = 70 Å³/cell; offset from the most stable computed form = 15.1 kJ per mole of atoms; final energy = -5.20 eV per atom; Fermi-level density of states = 2.864 states/eV/f.u.
1.0
5.0393 0.0000 0.0000
0.0000 5.0393 0.0000
0.0000 0.0000 2.7675
Ag W Au
1 1 2
Cartesian
0.0000 0.0000 0.0000
2.5197 2.5197 0.0000
0.0000 2.5197 1.3838
2.5197 0.0000 1.3838

=====

(6)
ThZn2PtAu2 PBE relaxed; SG = P4/mmm, No. 123; calculated formation energy = -2.16 eV/f.u.; total magnetization = 0.0 μB per formula unit; volume = 129 Å³/cell; final energy = -4.12 eV per atom; Fermi-level density of states = 2.163 states/eV/f.u.
1.0
4.8552 0.0000 0.0000
0.0000 4.8552 0.0000
0.0000 0.0000 5.4831
Th Zn Pt Au
1 2 1 2
Cartesian
0.0000 0.0000 0.0000
0.0000 2.4276 2.7415
2.4276 0.0000 2.7415
0.0000 0.0000 2.7415
2.4276 2.4276 1.3218
2.4276 2.4276 4.1612

=====

(7)
Li4Zn2Ir PBE relaxed; SG = I4/mmm, No. 139; calculated formation energy = -1.23 eV/f.u.; total magnetization = 0.0 μB per formula unit; volume = 109 Å³/cell; offset from the most stable computed form = 0.0 kJ per mole of atoms; final energy = -2.90 eV per atom; Fermi-level density of states = 3.673 states/eV/f.u.
1.0
-2.5768 2.5768 4.1199
2.5768 -2.5768 4.1199
2.5768 2.5768 -4.1199
Li Zn Ir
4 2 1
Cartesian
1.2884 1.2884 -2.0600
1.2884 -1.2884 2.0600
-1.2884 1.2884 2.0600
1.2884 1.2884 2.0600
2.5768 0.0000 0.0000
0.0000 2.5768 0.0000
0.0000 0.0000 0.0000

=====

(8)
BeAg PBE relaxed; SG = Pm-3n, No. 223; calculated formation energy = 1.89 eV/f.u.; total magnetization = 0.0 μB per formula unit; volume = 268 Å³/cell; final energy = -2.35 eV per atom; Fermi-level density of states = 0.873 states/eV/f.u.
1.0
6.4497 0.0000 0.0000
0.0000 6.4497 0.0000
0.0000 0.0000 6.4497
Be Ag
6 6
Cartesian
0.0000 1.6124 3.2249
0.0000 4.8373 3.2249
1.6124 3.2249 0.0000
3.2249 0.0000 1.6124
3.2249 0.0000 4.8373
4.8373 3.2249 0.0000
0.0000 3.2249 1.6124
0.0000 3.2249 4.8373
1.6124 0.0000 3.2249
3.2249 1.6124 0.0000
3.2249 4.8373 0.0000
4.8373 0.0000 3.2249

=====

(9)
Ce5S6 PBE relaxed; SG = C2/m, No. 12; uncorrected formation energy = -192.4 kJ/mol of atoms; total magnetization = 4.9 μB per formula unit; volume = 277 Å³/cell; final energy = -6.94 eV per atom; Fermi-level density of states = 27.594 states/eV/f.u.
1.0
3.4939 -6.0472 0.0000
3.4939 6.0472 0.0000
-2.3168 0.0000 6.5657
Ce S
5 6
Cartesian
0.0000 0.0000 0.0000
2.3355 4.0276 3.2828
3.4939 1.9719 0.0000
3.4939 -1.9719 0.0000
2.3355 -4.0276 3.2828
1.1543 2.0351 1.6295
-0.0053 0.0000 4.9085
1.1543 -2.0351 1.6295
3.5166 2.0351 4.9362
4.6762 0.0000 1.6571
3.5166 -2.0351 4.9362

=====

(10)
KFeN PBE relaxed; SG = Pnma, No. 62; uncorrected formation energy = -3.9 kJ/mol of atoms; total magnetization = 0.4 μB per formula unit; volume = 232 Å³/cell; offset from the most stable computed form = 0.0 kJ per mole of atoms; final energy = -6.00 eV per atom; Fermi-level density of states = 3.031 states/eV/f.u.
1.0
9.9053 0.0000 0.0000
0.0000 3.5260 0.0000
0.0000 0.0000 6.6537
K Fe N
4 4 4
Cartesian
1.7629 0.8815 0.3535
3.1897 2.6445 3.6804
6.7155 0.8815 2.9734
8.1424 2.6445 6.3002
0.2541 0.8815 4.0472
4.6985 2.6445 0.7203
5.2067 0.8815 5.9335
9.6512 2.6445 2.6066
0.3754 2.6445 4.3710
4.5773 0.8815 1.0441
5.3280 2.6445 5.6097
9.5299 0.8815 2.2828

=====

(11)
TcBr PBE relaxed; SG = Fm-3m, No. 225; uncorrected formation energy = 131.4 kJ/mol of atoms; total magnetization = 3.0 μB per formula unit; volume = 42 Å³/cell; offset from the most stable computed form = 127.2 kJ per mole of atoms; final energy = -4.66 eV per atom; Fermi-level density of states = 2.237 states/eV/f.u.
1.0
0.0000 2.7491 2.7491
2.7491 0.0000 2.7491
2.7491 2.7491 0.0000
Tc Br
1 1
Cartesian
0.0000 0.0000 0.0000
2.7491 2.7491 2.7491

=====

(12)
CdIn PBE relaxed; SG = Pmmn, No. 59; calculated formation energy = 0.08 eV/f.u.; total magnetization = 0.0 μB per formula unit; volume = 304 Å³/cell; final energy = -1.79 eV per atom; Fermi-level density of states = 0.494 states/eV/f.u.
1.0
3.2352 0.0000 0.0000
0.0000 16.5547 0.0000
0.0000 0.0000 5.6717
Cd In
6 6
Cartesian
0.8088 1.4285 0.5875
0.8088 6.8488 0.5875
0.8088 12.4160 0.0076
2.4264 4.1387 5.6641
2.4264 9.7059 5.0843
2.4264 15.1262 5.0843
0.8088 4.1387 2.8004
0.8088 9.6224 2.2115
0.8088 15.2096 2.2115
2.4264 1.3451 3.4602
2.4264 6.9323 3.4602
2.4264 12.4160 2.8714